1.
Crystalline FeNiMo3 at its relaxed geometry. Source: the Alexandria database, functional PBE-GGA.

Computed properties:
The energy of formation from the pure elements is 6.36 eV/f.u. The volume is 17.07 Å³/atom.

abc: 4.403 4.403 4.403
angles: 90.00 90.00 90.00
Space group Pm-3m (No. 221)
One atom of each set of equivalent atoms:
Fe1 0.000 0.000 0.000 x1
Ni1 0.500 0.500 0.500 x1
Mo1 0.000 0.000 0.500 x3

***

2.
Crystalline FeNi3Mo at its relaxed geometry. Source: the Alexandria database, functional PBE-GGA.

Computed properties:
The energy of formation from the pure elements is 6.73 eV/f.u. The volume is 14.28 Å³/atom.

abc: 4.149 4.149 4.149
angles: 90.00 90.00 90.00
Space group Pm-3m (No. 221)
One atom of each set of equivalent atoms:
Fe1 0.000 0.000 0.000 x1
Ni1 0.000 0.000 0.500 x3
Mo1 0.500 0.500 0.500 x1

***

3.
Crystalline FeNi4Mo at its relaxed geometry. Source: the Alexandria database, functional PBE-GGA.

Computed properties:
The energy of formation from the pure elements is 0.12 eV/f.u. The volume is 11.63 Å³/atom.

abc: 4.0415 4.0415 4.9327
angles: 90.00 90.00 120.00
Space group P6/mmm (No. 191)
One atom of each set of equivalent atoms:
Fe1 0.0000 0.0000 0.0000 x1
Ni1 0.3333 0.6667 0.2426 x4
Mo1 0.0000 0.0000 0.5000 x1